First-principles (PBE) data for an optimized crystal structure of CrNiOs2, as listed in Alexandria.

Cell and atoms, written as extended XYZ:
```
4
Lattice="8.6636 0.0142 0.0084 8.2498 2.6458 0.0084 8.2498 1.2975 2.3058" Properties=species:S:1:pos:R:3 pbc="T T T"
Ni 18.8724 2.9681 1.7419
Cr 6.2908 0.9894 0.5806
Os 25.1447 3.9546 2.3209
Os 12.6000 1.9817 1.1630
```

Summary:
ΔH_f (0 K) = 0.120 eV/atom
Offset from the most stable computed form = 47 meV/atom